Entry 1:
Here is a relaxed structure of Th12H5Au3 from Alexandria via LeMat-Bulk. Energies are from PBE-GGA.

DFT total energy in eV/cell: -949.7

Cell: 15.737 15.737 15.737 Å, 90.00 90.00 90.00°
Space group Ia-3d (No. 230)
Inequivalent atoms, fractional coordinates:
Th 0.039 0.056 0.648 (multiplicity 96)
H 0.000 0.000 0.000 (multiplicity 16)
H 0.000 0.250 0.375 (multiplicity 24)
Au 0.000 0.250 0.125 (multiplicity 24)



Entry 2:
Here is a relaxed structure of La3SmSn3 from Alexandria via LeMat-Bulk. Energies are from PBE-GGA.

Energy relative to the elements in eV per formula unit: -3.49

Cell: 8.726 13.715 8.320 Å, 90.00 92.81 90.00°
Space group C2/m (No. 12)
Inequivalent atoms, fractional coordinates:
La 0.000 0.165 0.000 (multiplicity 4)
La 0.000 0.223 0.500 (multiplicity 4)
La 0.126 0.500 0.873 (multiplicity 4)
Sm 0.230 0.500 0.423 (multiplicity 4)
Sn 0.049 0.000 0.278 (multiplicity 4)
Sn 0.173 0.330 0.202 (multiplicity 8)



Entry 3:
Here is a relaxed structure of Sr2AgSnRh from Alexandria via LeMat-Bulk. Energies are from PBE-GGA.

Energy relative to the elements in eV per formula unit: -1.35

Cell: 5.762 5.762 5.035 Å, 90.00 90.00 90.00°
Space group P4/mmm (No. 123)
Inequivalent atoms, fractional coordinates:
Sr 0.000 0.500 0.000 (multiplicity 2)
Ag 0.000 0.000 0.500 (multiplicity 1)
Sn 0.500 0.500 0.500 (multiplicity 1)
Rh 0.500 0.500 0.000 (multiplicity 1)



Number 1: magnetic moment 0.0 μB/cell, V 3896.98 Å³/cell. Number 2: magnetic moment 0.0 μB/cell, V 994.52 Å³/cell. Number 3: magnetic moment 0.0 μB/cell, V 167.15 Å³/cell.